Entry 1:
# MgPt2W

A geometry-optimized MgPt2W structure (GGA-PBE, Alexandria via LeMat-Bulk).

Cell lengths 4.0578, 4.0578, 17.2727 Å; angles 90.00, 90.00, 90.00 degrees
Last column: nearest neighbours and their distance in Å.
Element x y z (fractional)
Mg (0.0000, 0.0000, 0.0000)  4 Pt 2.60, 4 W 2.87
Mg (0.0000, 0.5000, 0.2500)  4 Pt 2.60, 4 W 2.87
Mg (0.5000, 0.0000, 0.7500)  4 Pt 2.60, 4 W 2.87
Mg (0.5000, 0.5000, 0.5000)  4 Pt 2.60, 4 W 2.87
Pt (0.2466, 0.2500, 0.6250)  2 W 2.59, 2 Mg 2.60, 4 Pt 2.85-2.89
Pt (0.2500, 0.7466, 0.8750)  2 W 2.59, 2 Mg 2.60, 4 Pt 2.85-2.89
Pt (0.2500, 0.7534, 0.3750)  2 W 2.59, 2 Mg 2.60, 4 Pt 2.85-2.89
Pt (0.2534, 0.2500, 0.1250)  2 W 2.59, 2 Mg 2.60, 4 Pt 2.85-2.89
Pt (0.7466, 0.7500, 0.1250)  2 W 2.59, 2 Mg 2.60, 4 Pt 2.85-2.89
Pt (0.7500, 0.2466, 0.3750)  2 W 2.59, 2 Mg 2.60, 4 Pt 2.85-2.89
Pt (0.7500, 0.2534, 0.8750)  2 W 2.59, 2 Mg 2.60, 4 Pt 2.85-2.89
Pt (0.7534, 0.7500, 0.6250)  2 W 2.59, 2 Mg 2.60, 4 Pt 2.85-2.89
W (0.0000, 0.0000, 0.5000)  4 Pt 2.59, 4 Mg 2.87
W (0.0000, 0.5000, 0.7500)  4 Pt 2.59, 4 Mg 2.87
W (0.5000, 0.0000, 0.2500)  4 Pt 2.59, 4 Mg 2.87
W (0.5000, 0.5000, 0.0000)  4 Pt 2.59, 4 Mg 2.87

Output
**E_form**: 1.0 eV/f.u.
**Electronic total energy**: -6.396 eV/atom
**Spin magnetization**: 0.00 μB/atom

Entry 2:
# NdTh3

A geometry-optimized NdTh3 structure (GGA-PBE, Alexandria via LeMat-Bulk).

Cell lengths 8.0776, 8.0776, 8.0776 Å; angles 90.00, 90.00, 90.00 degrees
Last column: nearest neighbours and their distance in Å.
Element x y z (fractional)
Nd (0.0000, 0.0000, 0.0000)  8 Th 3.50
Nd (0.0000, 0.5000, 0.5000)  8 Th 3.50
Nd (0.5000, 0.0000, 0.5000)  8 Th 3.50
Nd (0.5000, 0.5000, 0.0000)  8 Th 3.50
Th (0.0000, 0.0000, 0.5000)  8 Th 3.50
Th (0.0000, 0.5000, 0.0000)  8 Th 3.50
Th (0.2500, 0.2500, 0.2500)  4 Th 3.50, 4 Nd 3.50
Th (0.2500, 0.2500, 0.7500)  4 Th 3.50, 4 Nd 3.50
Th (0.2500, 0.7500, 0.2500)  4 Th 3.50, 4 Nd 3.50
Th (0.2500, 0.7500, 0.7500)  4 Th 3.50, 4 Nd 3.50
Th (0.5000, 0.0000, 0.0000)  8 Th 3.50
Th (0.5000, 0.5000, 0.5000)  8 Th 3.50
Th (0.7500, 0.2500, 0.2500)  4 Th 3.50, 4 Nd 3.50
Th (0.7500, 0.2500, 0.7500)  4 Th 3.50, 4 Nd 3.50
Th (0.7500, 0.7500, 0.2500)  4 Th 3.50, 4 Nd 3.50
Th (0.7500, 0.7500, 0.7500)  4 Nd 3.50, 4 Th 3.50

Output
**E_form**: 0.8 eV/f.u.
**Electronic total energy**: -6.569 eV/atom
**Spin magnetization**: 0.00 μB/atom
**Energy above the lowest structure with this stoichiometry**: 121.0 meV/atom

Entry 3:
# PrZn4Cu2

A geometry-optimized PrZn4Cu2 structure (GGA-PBE, Alexandria via LeMat-Bulk).

Cell lengths 8.4007, 6.7100, 5.1232 Å; angles 90.00, 127.25, 90.00 degrees
Last column: nearest neighbours and their distance in Å.
Element x y z (fractional)
Pr (0.0000, 0.0000, 0.0000)  12 Zn 2.91-3.15
Pr (0.5000, 0.5000, 0.0000)  12 Zn 2.91-3.15
Zn (0.1926, 0.1924, 0.6928)  4 Zn 2.58-2.79, 4 Cu 2.74-2.76
Zn (0.1926, 0.8076, 0.6928)  4 Zn 2.58-2.79, 4 Cu 2.74-2.76
Zn (0.3074, 0.3076, 0.3072)  4 Zn 2.58-2.79, 4 Cu 2.74-2.76
Zn (0.3074, 0.6924, 0.3072)  4 Zn 2.58-2.79, 4 Cu 2.74-2.76
Zn (0.6926, 0.3076, 0.6928)  4 Zn 2.58-2.79, 4 Cu 2.74-2.76
Zn (0.6926, 0.6924, 0.6928)  4 Zn 2.58-2.79, 4 Cu 2.74-2.76
Zn (0.8074, 0.1924, 0.3072)  4 Zn 2.58-2.79, 4 Cu 2.74-2.76
Zn (0.8074, 0.8076, 0.3072)  4 Zn 2.58-2.79, 4 Cu 2.74-2.76
Cu (0.0006, 0.5000, 0.7504)  2 Cu 2.56, 8 Zn 2.74-2.76
Cu (0.4994, 0.0000, 0.2496)  2 Cu 2.56, 8 Zn 2.74-2.76
Cu (0.5006, 0.0000, 0.7504)  2 Cu 2.56, 8 Zn 2.74-2.76
Cu (0.9994, 0.5000, 0.2496)  2 Cu 2.56, 8 Zn 2.74-2.76

Output
**E_form**: -1.4 eV/f.u.
**Electronic total energy**: -2.782 eV/atom
**Spin magnetization**: 0.00 μB/atom
**Energy above the lowest structure with this stoichiometry**: 22.3 meV/atom

Entry 4:
# Rb3BiP

A geometry-optimized Rb3BiP structure (GGA-PBE, Alexandria via LeMat-Bulk).

Cell lengths 6.5116, 6.5116, 6.5116 Å; angles 90.00, 90.00, 90.00 degrees
Last column: nearest neighbours and their distance in Å.
Element x y z (fractional)
Rb (0.0000, 0.0000, 0.5000)  2 P 3.26
Rb (0.0000, 0.5000, 0.0000)  2 P 3.26
Rb (0.5000, 0.0000, 0.0000)  2 P 3.26
Bi (0.5000, 0.5000, 0.5000)  12 Rb 4.60
P (0.0000, 0.0000, 0.0000)  6 Rb 3.26

Output
**E_form**: 0.7 eV/f.u.
**Electronic total energy**: -2.299 eV/atom
**Spin magnetization**: 0.60 μB/atom

Entry 5:
# Mg2MnSi

A geometry-optimized Mg2MnSi structure (GGA-PBE, Alexandria via LeMat-Bulk).

Cell lengths 3.0616, 3.0616, 6.9639 Å; angles 90.00, 90.00, 90.00 degrees
Last column: nearest neighbours and their distance in Å.
Element x y z (fractional)
Mg (0.0000, 0.0000, 0.0000)  1 Mn 2.81, 4 Si 2.87, 4 Mg 3.06
Mg (0.5000, 0.5000, 0.3377)  1 Si 2.73, 4 Mn 2.82
Mn (0.0000, 0.0000, 0.5971)  4 Si 2.35
Si (0.5000, 0.5000, 0.7294)  4 Mn 2.35

Output
**Electronic total energy**: -4.474 eV/atom
**Spin magnetization**: 0.19 μB/atom

Entry 6:
# RbVFeAg2

A geometry-optimized RbVFeAg2 structure (GGA-PBE, Alexandria via LeMat-Bulk).

Cell lengths 5.1999, 5.1999, 5.7412 Å; angles 90.00, 90.00, 90.00 degrees
Last column: nearest neighbours and their distance in Å.
Element x y z (fractional)
Rb (0.0000, 0.0000, 0.0000)  2 V 2.87
V (0.0000, 0.0000, 0.5000)  4 Ag 2.60, 2 Rb 2.87
Fe (0.5000, 0.5000, 0.0000)  4 Rb 3.68, 8 Ag 3.87
Ag (0.0000, 0.5000, 0.5000)  2 V 2.60
Ag (0.5000, 0.0000, 0.5000)  2 V 2.60

Output
**E_form**: 8.3 eV/f.u.
**Electronic total energy**: -3.188 eV/atom
**Spin magnetization**: 1.49 μB/atom